Density functional theory data (GGA-PBE) for crystalline Ce3YS at its relaxed geometry.

**Calculated volume**: 31.073 A^3/atom
**E_form (uncorrected)**: -555.0 meV per atom
**VASP energy**: -31.2 eV/cell
**DOS at the Fermi energy**: 2.9924 states/eV/atom

Lattice parameters (Å, degrees): 5.3759 5.3759 5.3759 90.00 90.00 90.00
Space group Pm-3m (No. 221)
Asymmetric unit:
Ce: 0.0000 0.0000 0.5000 (multiplicity 3)
Y: 0.5000 0.5000 0.5000 (multiplicity 1)
S: 0.0000 0.0000 0.0000 (multiplicity 1)